VASP calculation (GGA-PBE) on crystalline BaSmAlS4 at its relaxed geometry.

Cell lengths 6.620, 6.723, 8.510 Å; angles 90.00, 107.57, 90.00 degrees
Fractional coordinates of all 14 atoms:
Ba 0.239 0.250 0.435
Ba 0.761 0.750 0.565
Sm 0.278 0.250 0.948
Sm 0.722 0.750 0.052
Al 0.267 0.750 0.178
Al 0.733 0.250 0.822
S 0.061 0.750 0.918
S 0.072 0.750 0.351
S 0.499 0.504 0.778
S 0.499 0.996 0.778
S 0.501 0.004 0.222
S 0.501 0.496 0.222
S 0.928 0.250 0.649
S 0.939 0.250 0.082

Calculated values
* magnetization: 0.0 μB per formula unit
* crystal system: monoclinic
* energy relative to the elements, uncorrected: -171 kJ/mol of atoms